# 1
This record from Alexandria via LeMat-Bulk describes crystalline Nd5AgBi2 at its relaxed geometry. The functional is PBE-GGA.

Crystal system: orthorhombic
Total moment, μB/f.u.: 0.00
Raw total energy, eV per atom: -4.561

Cell: 6.903 6.903 14.578 Å, 90.00 90.00 127.79°
Positions (direct):
Nd: 0.068 0.932 0.606
Nd: 0.068 0.932 0.894
Nd: 0.378 0.622 0.560
Nd: 0.378 0.622 0.940
Nd: 0.382 0.618 0.250
Nd: 0.618 0.382 0.750
Nd: 0.622 0.378 0.060
Nd: 0.622 0.378 0.440
Nd: 0.932 0.068 0.106
Nd: 0.932 0.068 0.394
Ag: 0.260 0.740 0.750
Ag: 0.740 0.260 0.250
Bi: 0.196 0.804 0.103
Bi: 0.196 0.804 0.397
Bi: 0.804 0.196 0.603
Bi: 0.804 0.196 0.897

# 2
This record from Alexandria via LeMat-Bulk describes crystalline Nd5Ag2Bi at its relaxed geometry. The functional is PBE-GGA.

Crystal system: tetragonal
Total moment, μB/f.u.: 0.00
Raw total energy, eV per atom: -4.527

Cell: 9.025 9.025 9.025 Å, 123.98 123.98 83.23°
Positions (direct):
Nd: 0.000 0.000 0.000
Nd: 0.007 0.507 0.807
Nd: 0.200 0.007 0.500
Nd: 0.300 0.800 0.807
Nd: 0.493 0.300 0.500
Nd: 0.500 0.500 0.000
Nd: 0.507 0.700 0.500
Nd: 0.700 0.200 0.193
Nd: 0.800 0.993 0.500
Nd: 0.993 0.493 0.193
Ag: 0.135 0.365 0.500
Ag: 0.365 0.865 0.231
Ag: 0.635 0.135 0.769
Ag: 0.865 0.635 0.500
Bi: 0.250 0.250 0.000
Bi: 0.750 0.750 0.000

# 3
This record from Alexandria via LeMat-Bulk describes crystalline NdAg2Bi2 at its relaxed geometry. The functional is PBE-GGA.

Crystal system: orthorhombic
Total moment, μB/f.u.: 0.00
Raw total energy, eV per atom: -4.034

Cell: 12.362 12.362 4.611 Å, 90.00 90.00 158.41°
Positions (direct):
Nd: 0.144 0.856 0.750
Nd: 0.856 0.144 0.250
Ag: 0.036 0.964 0.250
Ag: 0.464 0.536 0.250
Ag: 0.536 0.464 0.750
Ag: 0.964 0.036 0.750
Bi: 0.250 0.750 0.250
Bi: 0.385 0.615 0.750
Bi: 0.615 0.385 0.250
Bi: 0.750 0.250 0.750

# 4
This record from Alexandria via LeMat-Bulk describes crystalline Nd2AgBiO5 at its relaxed geometry. The functional is PBE-GGA.

Energy relative to the elements, uncorrected, kJ/mol of atoms: -179.6
Crystal system: tetragonal
Total moment, μB/f.u.: 0.00

Cell: 6.824 6.824 6.509 Å, 90.00 90.00 90.00°
Positions (direct):
Nd: 0.175 0.325 0.000
Nd: 0.325 0.825 0.000
Nd: 0.675 0.175 0.000
Nd: 0.825 0.675 0.000
Ag: 0.000 0.000 0.500
Ag: 0.500 0.500 0.500
Bi: 0.000 0.500 0.500
Bi: 0.500 0.000 0.500
O: 0.000 0.000 0.000
O: 0.145 0.645 0.231
O: 0.145 0.645 0.769
O: 0.355 0.145 0.231
O: 0.355 0.145 0.769
O: 0.500 0.500 0.000
O: 0.645 0.855 0.231
O: 0.645 0.855 0.769
O: 0.855 0.355 0.231
O: 0.855 0.355 0.769